Record 1
# LiZr2Cl PBE relaxed
# Density ... 4.30 g/cm3
# Formation energy from raw total energies ... 9.8 kJ/mol of atoms
data_LiZr2Cl
_space_group_name_H-M_alt 'P 1'
_space_group_IT_number 1
_space_group_name_Hall 'P 1'
_cell_length_a 3.996
_cell_length_b 3.996
_cell_length_c 10.887
_cell_angle_alpha 90.00
_cell_angle_beta 90.00
_cell_angle_gamma 90.00
loop_
_atom_site_label
_atom_site_fract_x
_atom_site_fract_y
_atom_site_fract_z
Li1 0.000 0.000 0.000
Li2 0.500 0.500 0.500
Zr1 0.000 0.500 0.250
Zr2 0.000 0.500 0.750
Zr3 0.500 0.000 0.250
Zr4 0.500 0.000 0.750
Cl1 0.000 0.000 0.500
Cl2 0.500 0.500 0.000


Record 2
# Pm2Ga2Ni3 PBE relaxed
# Density ... 7.96 g/cm3
# Energy ... -5.158 eV per atom
data_Pm2Ga2Ni3
_space_group_name_H-M_alt 'P 1'
_space_group_IT_number 1
_space_group_name_Hall 'P 1'
_cell_length_a 10.728
_cell_length_b 3.839
_cell_length_c 6.734
_cell_angle_alpha 90.00
_cell_angle_beta 114.41
_cell_angle_gamma 90.00
loop_
_atom_site_label
_atom_site_fract_x
_atom_site_fract_y
_atom_site_fract_z
Pm1 0.128 0.000 0.265
Pm2 0.372 0.500 0.735
Pm3 0.628 0.500 0.265
Pm4 0.872 0.000 0.735
Ga1 0.155 0.000 0.750
Ga2 0.345 0.500 0.250
Ga3 0.655 0.500 0.750
Ga4 0.845 0.000 0.250
Ni1 0.000 0.500 0.500
Ni2 0.105 0.500 0.929
Ni3 0.395 0.000 0.071
Ni4 0.500 0.000 0.500
Ni5 0.605 0.000 0.929
Ni6 0.895 0.500 0.071


Record 3
# Nd4Cd5Pt2 PBE relaxed
# Density ... 8.75 g/cm3
# Energy ... -3.836 eV per atom
data_Nd4Cd5Pt2
_space_group_name_H-M_alt 'P 1'
_space_group_IT_number 1
_space_group_name_Hall 'P 1'
_cell_length_a 7.802
_cell_length_b 3.778
_cell_length_c 9.865
_cell_angle_alpha 90.00
_cell_angle_beta 93.85
_cell_angle_gamma 90.00
loop_
_atom_site_label
_atom_site_fract_x
_atom_site_fract_y
_atom_site_fract_z
Nd1 0.168 0.000 0.357
Nd2 0.231 0.000 0.947
Nd3 0.769 0.000 0.053
Nd4 0.832 0.000 0.643
Cd1 0.189 0.500 0.652
Cd2 0.451 0.500 0.187
Cd3 0.500 0.500 0.500
Cd4 0.549 0.500 0.813
Cd5 0.811 0.500 0.348
Pt1 0.069 0.500 0.140
Pt2 0.931 0.500 0.860


Record 4
# Pu2SnRh2 PBE relaxed
# Density ... 12.68 g/cm3
# Energy ... -10.003 eV per atom
data_Pu2SnRh2
_space_group_name_H-M_alt 'P 1'
_space_group_IT_number 1
_space_group_name_Hall 'P 1'
_cell_length_a 4.600
_cell_length_b 5.810
_cell_length_c 7.963
_cell_angle_alpha 90.00
_cell_angle_beta 90.00
_cell_angle_gamma 90.00
loop_
_atom_site_label
_atom_site_fract_x
_atom_site_fract_y
_atom_site_fract_z
Pu1 0.000 0.000 0.201
Pu2 0.000 0.000 0.799
Pu3 0.500 0.500 0.299
Pu4 0.500 0.500 0.701
Sn1 0.000 0.500 0.000
Sn2 0.500 0.000 0.500
Rh1 0.000 0.266 0.500
Rh2 0.000 0.734 0.500
Rh3 0.500 0.234 0.000
Rh4 0.500 0.766 0.000


Record 5
# CsScBO4 PBE relaxed
# Density ... 4.05 g/cm3
# Formation energy from raw total energies ... -229.5 kJ/mol of atoms
data_CsScBO4
_space_group_name_H-M_alt 'P 1'
_space_group_IT_number 1
_space_group_name_Hall 'P 1'
_cell_length_a 5.039
_cell_length_b 5.516
_cell_length_c 7.789
_cell_angle_alpha 90.00
_cell_angle_beta 106.62
_cell_angle_gamma 90.00
loop_
_atom_site_label
_atom_site_fract_x
_atom_site_fract_y
_atom_site_fract_z
Cs1 0.225 0.250 0.431
Cs2 0.775 0.750 0.569
Sc1 0.329 0.750 0.035
Sc2 0.671 0.250 0.965
B1 0.127 0.250 0.860
B2 0.873 0.750 0.140
O1 0.121 0.250 0.049
O2 0.160 0.750 0.253
O3 0.297 0.035 0.844
O4 0.297 0.465 0.844
O5 0.703 0.535 0.156
O6 0.703 0.965 0.156
O7 0.840 0.250 0.747
O8 0.879 0.750 0.951


Record 6
# CdCo2Ni PBE relaxed
# Density ... 9.07 g/cm3
# Energy ... -4.965 eV per atom
data_CdCo2Ni
_space_group_name_H-M_alt 'P 1'
_space_group_IT_number 1
_space_group_name_Hall 'P 1'
_cell_length_a 2.783
_cell_length_b 2.783
_cell_length_c 6.835
_cell_angle_alpha 90.00
_cell_angle_beta 90.00
_cell_angle_gamma 90.00
loop_
_atom_site_label
_atom_site_fract_x
_atom_site_fract_y
_atom_site_fract_z
Cd1 0.000 0.000 0.000
Co1 0.500 0.500 0.292
Co2 0.500 0.500 0.708
Ni1 0.000 0.000 0.500


These records have N(E_F) values of 0.879 0.917 0.830 3.495 0.105 1.398 states/eV per atom, in the order they appear.